The following is a PBE+U calculation of a relaxed K3CoRh3O8 crystal, from the Alexandria database.

Structure (POSCAR):
```
K3CoRh3O8
1.0
3.117 1.799 5.977
-3.117 1.799 5.977
0.000 -3.599 5.977
K Co Rh O
3 1 3 8
Cartesian
-1.558 -0.900 5.977
-1.558 0.900 11.954
0.000 1.799 5.977
0.000 0.000 8.966
-3.117 0.000 8.966
-1.558 0.900 2.989
1.558 0.900 2.989
0.000 0.000 4.001
-1.504 -0.868 9.935
0.000 -1.736 7.997
-1.504 0.868 7.997
1.504 -0.868 9.935
0.000 1.736 9.935
1.504 0.868 7.997
0.000 0.000 13.931
```

## Properties
The calculation puts the total energy at -85.841 eV/cell. Its density of states at the Fermi level is 9.7 states/eV per cell. The calculation puts the total moment at 0.91 μB/f.u.